VASP calculation (GGA-PBE) on crystalline Li4Np3PaS8 at its relaxed geometry.

Lattice parameters (Å, degrees): 7.8182 7.8182 18.5592 90.00 90.00 120.00
Space group R-3m (No. 166, hexagonal axes)
Unique sites:
1 Li 0.0000 0.0000 0.0000
2 Li 0.0000 0.5000 0.0000
3 Np 0.0000 0.5000 0.5000
4 Pa 0.0000 0.0000 0.5000
5 S 0.0000 0.0000 0.2505
6 S 0.0037 0.5019 0.2521

Output
Final energy in eV/cell: -334.44
E_form (uncorrected) in eV per atom: -1.405